# 1
First-principles (PBE) data for YScTa2 after structural relaxation, as listed in Alexandria via LeMat-Bulk.

DFT total energy in Ry per atom: -0.6021
Total magnetic moment in μB/cell: 0.0
Polymorph energy (0 for the lowest one) in meV/atom: 785

Geometry as CIF:
```
data_YScTa2
_chemical_formula_sum 'Y4 Sc4 Ta8'
_cell_length_a 7.917
_cell_length_b 7.917
_cell_length_c 5.817
_cell_angle_alpha 90.00
_cell_angle_beta 90.00
_cell_angle_gamma 90.00
_space_group_name_H-M_alt 'I -4 2 d'
_space_group_IT_number 122
_space_group_name_Hall 'I -4 2bw'
loop_
_atom_site_label
_atom_site_fract_x
_atom_site_fract_y
_atom_site_fract_z
Y1 0.000 0.000 0.000
Sc1 0.000 0.000 0.500
Ta1 0.237 0.250 0.625
```



# 2
First-principles (PBE) data for Y2ScTa after structural relaxation, as listed in Alexandria via LeMat-Bulk.

DFT total energy in Ry per atom: -0.5490
Total magnetic moment in μB/cell: 0.0
Polymorph energy (0 for the lowest one) in meV/atom: 102

Geometry as CIF:
```
data_Y2ScTa
_chemical_formula_sum 'Y4 Sc2 Ta2'
_cell_length_a 4.604
_cell_length_b 4.740
_cell_length_c 9.294
_cell_angle_alpha 90.00
_cell_angle_beta 90.00
_cell_angle_gamma 90.00
_space_group_name_H-M_alt 'I m m 2'
_space_group_IT_number 44
_space_group_name_Hall 'I 2 -2'
loop_
_atom_site_label
_atom_site_fract_x
_atom_site_fract_y
_atom_site_fract_z
Y1 0.000 0.000 0.000
Y2 0.000 0.500 0.246
Sc1 0.000 0.500 0.755
Ta1 0.000 0.000 0.487
```



# 3
First-principles (PBE) data for YScTa3 after structural relaxation, as listed in Alexandria via LeMat-Bulk.

DFT total energy in Ry per atom: -0.5641
Total magnetic moment in μB/cell: 0.0
Polymorph energy (0 for the lowest one) in meV/atom: 541

Geometry as CIF:
```
data_YScTa3
_chemical_formula_sum 'Y1 Sc1 Ta3'
_cell_length_a 4.956
_cell_length_b 4.956
_cell_length_c 4.956
_cell_angle_alpha 90.00
_cell_angle_beta 90.00
_cell_angle_gamma 90.00
_space_group_name_H-M_alt 'P m -3 m'
_space_group_IT_number 221
_space_group_name_Hall '-P 4 2 3'
loop_
_atom_site_label
_atom_site_fract_x
_atom_site_fract_y
_atom_site_fract_z
Y1 0.000 0.000 0.000
Sc1 0.500 0.500 0.500
Ta1 0.000 0.000 0.500
```



# 4
First-principles (PBE) data for YScTa2 after structural relaxation, as listed in Alexandria via LeMat-Bulk.

DFT total energy in Ry per atom: -0.6512
Total magnetic moment in μB/cell: 0.0
Polymorph energy (0 for the lowest one) in meV/atom: 116

Geometry as CIF:
```
data_YScTa2
_chemical_formula_sum 'Y2 Sc2 Ta4'
_cell_length_a 3.556
_cell_length_b 4.945
_cell_length_c 10.151
_cell_angle_alpha 90.00
_cell_angle_beta 90.00
_cell_angle_gamma 90.00
_space_group_name_H-M_alt 'C m m 2'
_space_group_IT_number 35
_space_group_name_Hall 'C 2 -2'
loop_
_atom_site_label
_atom_site_fract_x
_atom_site_fract_y
_atom_site_fract_z
Y1 0.000 0.000 0.000
Sc1 0.000 0.500 0.302
Ta1 0.000 0.000 0.534
Ta2 0.000 0.500 0.742
```



# 5
First-principles (PBE) data for Y2ScTa after structural relaxation, as listed in Alexandria via LeMat-Bulk.

DFT total energy in Ry per atom: -0.5485
Total magnetic moment in μB/cell: 0.0
Polymorph energy (0 for the lowest one) in meV/atom: 109

Geometry as CIF:
```
data_Y2ScTa
_chemical_formula_sum 'Y2 Sc1 Ta1'
_cell_length_a 3.255
_cell_length_b 4.704
_cell_length_c 6.662
_cell_angle_alpha 90.00
_cell_angle_beta 90.13
_cell_angle_gamma 90.00
_space_group_name_H-M_alt 'P 1 2/m 1'
_space_group_IT_number 10
_space_group_name_Hall '-P 2y'
loop_
_atom_site_label
_atom_site_fract_x
_atom_site_fract_y
_atom_site_fract_z
Y1 0.001 0.000 0.234
Sc1 0.500 0.500 0.500
Ta1 0.500 0.500 0.000
```



# 6
First-principles (PBE) data for YScTa2 after structural relaxation, as listed in Alexandria via LeMat-Bulk.

DFT total energy in Ry per atom: -0.6457
Total magnetic moment in μB/cell: 0.0
Polymorph energy (0 for the lowest one) in meV/atom: 191

Geometry as CIF:
```
data_YScTa2
_chemical_formula_sum 'Y3 Sc3 Ta6'
_cell_length_a 3.1326
_cell_length_b 3.1326
_cell_length_c 31.4716
_cell_angle_alpha 90.00
_cell_angle_beta 90.00
_cell_angle_gamma 120.00
_space_group_name_H-M_alt 'R 3 m'
_space_group_IT_number 160
_space_group_name_Hall 'R 3 -2"'
loop_
_atom_site_label
_atom_site_fract_x
_atom_site_fract_y
_atom_site_fract_z
Y1 0.0000 0.0000 0.0000
Sc1 0.0000 0.0000 0.2343
Ta1 0.0000 0.0000 0.4912
Ta2 0.0000 0.0000 0.7506
```



# 7
First-principles (PBE) data for YScTa2 after structural relaxation, as listed in Alexandria via LeMat-Bulk.

DFT total energy in Ry per atom: -0.6597
Total magnetic moment in μB/cell: 0.0
Polymorph energy (0 for the lowest one) in meV/atom: 0

Geometry as CIF:
```
data_YScTa2
_chemical_formula_sum 'Y1 Sc1 Ta2'
_cell_length_a 3.499
_cell_length_b 3.499
_cell_length_c 7.598
_cell_angle_alpha 90.00
_cell_angle_beta 90.00
_cell_angle_gamma 90.00
_space_group_name_H-M_alt 'P 4 m m'
_space_group_IT_number 99
_space_group_name_Hall 'P 4 -2'
loop_
_atom_site_label
_atom_site_fract_x
_atom_site_fract_y
_atom_site_fract_z
Y1 0.000 0.000 0.000
Sc1 0.500 0.500 0.337
Ta1 0.000 0.000 0.567
Ta2 0.500 0.500 0.735
```



# 8
First-principles (PBE) data for YScTa2 after structural relaxation, as listed in Alexandria via LeMat-Bulk.

DFT total energy in Ry per atom: -0.6429
Total magnetic moment in μB/cell: 0.0
Polymorph energy (0 for the lowest one) in meV/atom: 229

Geometry as CIF:
```
data_YScTa2
_chemical_formula_sum 'Y2 Sc2 Ta4'
_cell_length_a 5.891
_cell_length_b 9.930
_cell_length_c 2.952
_cell_angle_alpha 90.00
_cell_angle_beta 90.50
_cell_angle_gamma 90.00
_space_group_name_H-M_alt 'C 1 2/m 1'
_space_group_IT_number 12
_space_group_name_Hall '-C 2y'
loop_
_atom_site_label
_atom_site_fract_x
_atom_site_fract_y
_atom_site_fract_z
Y1 0.000 0.000 0.000
Sc1 0.000 0.500 0.000
Ta1 0.250 0.250 0.500
```



# 9
First-principles (PBE) data for YScTa2 after structural relaxation, as listed in Alexandria via LeMat-Bulk.

DFT total energy in Ry per atom: -0.6434
Total magnetic moment in μB/cell: 0.0
Polymorph energy (0 for the lowest one) in meV/atom: 222

Geometry as CIF:
```
data_YScTa2
_chemical_formula_sum 'Y1 Sc1 Ta2'
_cell_length_a 2.975
_cell_length_b 4.887
_cell_length_c 6.001
_cell_angle_alpha 90.00
_cell_angle_beta 97.71
_cell_angle_gamma 90.00
_space_group_name_H-M_alt 'P 1 2/m 1'
_space_group_IT_number 10
_space_group_name_Hall '-P 2y'
loop_
_atom_site_label
_atom_site_fract_x
_atom_site_fract_y
_atom_site_fract_z
Y1 0.000 0.000 0.000
Sc1 0.000 0.000 0.500
Ta1 0.469 0.500 0.732
```



# 10
First-principles (PBE) data for YScTa2 after structural relaxation, as listed in Alexandria via LeMat-Bulk.

DFT total energy in Ry per atom: -0.6434
Total magnetic moment in μB/cell: 0.0
Polymorph energy (0 for the lowest one) in meV/atom: 222

Geometry as CIF:
```
data_YScTa2
_chemical_formula_sum 'Y2 Sc2 Ta4'
_cell_length_a 10.492
_cell_length_b 3.128
_cell_length_c 5.395
_cell_angle_alpha 90.00
_cell_angle_beta 99.66
_cell_angle_gamma 90.00
_space_group_name_H-M_alt 'C 1 2/m 1'
_space_group_IT_number 12
_space_group_name_Hall '-C 2y'
loop_
_atom_site_label
_atom_site_fract_x
_atom_site_fract_y
_atom_site_fract_z
Y1 0.000 0.000 0.000
Sc1 0.000 0.500 0.500
Ta1 0.245 0.000 0.729
```



# 11
First-principles (PBE) data for Y2ScTa after structural relaxation, as listed in Alexandria via LeMat-Bulk.

DFT total energy in Ry per atom: -0.5565
Total magnetic moment in μB/cell: 0.0
Polymorph energy (0 for the lowest one) in meV/atom: 0

Geometry as CIF:
```
data_Y2ScTa
_chemical_formula_sum 'Y4 Sc2 Ta2'
_cell_length_a 5.089
_cell_length_b 3.309
_cell_length_c 12.287
_cell_angle_alpha 90.00
_cell_angle_beta 90.00
_cell_angle_gamma 90.00
_space_group_name_H-M_alt 'A m m 2'
_space_group_IT_number 38
_space_group_name_Hall 'A 2 -2'
loop_
_atom_site_label
_atom_site_fract_x
_atom_site_fract_y
_atom_site_fract_z
Y1 0.000 0.000 0.000
Y2 0.500 0.000 0.337
Sc1 0.500 0.000 0.616
Ta1 0.000 0.000 0.727
```



# 12
First-principles (PBE) data for YScTa2 after structural relaxation, as listed in Alexandria via LeMat-Bulk.

DFT total energy in Ry per atom: -0.6444
Total magnetic moment in μB/cell: 0.0
Polymorph energy (0 for the lowest one) in meV/atom: 209

Geometry as CIF:
```
data_YScTa2
_chemical_formula_sum 'Y1 Sc1 Ta2'
_cell_length_a 2.978
_cell_length_b 2.978
_cell_length_c 9.790
_cell_angle_alpha 90.00
_cell_angle_beta 90.00
_cell_angle_gamma 90.00
_space_group_name_H-M_alt 'P 4/m m m'
_space_group_IT_number 123
_space_group_name_Hall '-P 4 2'
loop_
_atom_site_label
_atom_site_fract_x
_atom_site_fract_y
_atom_site_fract_z
Y1 0.000 0.000 0.000
Sc1 0.000 0.000 0.500
Ta1 0.500 0.500 0.267
```